First-principles (GGA-PBE) data for a geometry-optimized GaAu2 structure, as listed in Alexandria.

The structure in POSCAR format:
```
GaAu2
1.0
0.000 3.919 3.919
3.919 0.000 3.919
3.919 3.919 0.000
Ga Au
2 4
Direct
0.125 0.125 0.125 Ga
0.875 0.875 0.875 Ga
0.000 0.500 0.500 Au
0.500 0.000 0.500 Au
0.500 0.500 0.000 Au
0.500 0.500 0.500 Au
```

## Properties
Calculated formation energy ... 76.4 meV per atom
Total magnetic moment ... 0.00 μB per formula unit